Record 1
Material: AcNiH
Method: DFT, PBE-GGA
State: optimized geometry

a = 3.703 Å, b = 4.088 Å, c = 4.088 Å
α = 120.00°, β = 90.00°, γ = 90.00°
Sites, in units of the cell vectors:
Ac1 0.666 0.667 0.333
H1 0.167 0.000 0.000
Ni1 0.166 0.333 0.667

Summary:
**Final energy**: -13.4 eV per cell
**Magnetization**: 0.0 μB/f.u.
**Space group**: P-6m2
**Energy relative to the lowest polymorph listed for this composition**: 0.94 eV per formula unit

---

Record 2
Material: Sc4P3Se
Method: DFT, PBE-GGA
State: optimized geometry

a = 3.779 Å, b = 6.551 Å, c = 6.551 Å
α = 109.29°, β = 90.00°, γ = 90.00°
Sites, in units of the cell vectors:
Sc1 0.000 0.737 0.737
Sc2 0.500 0.744 0.256
Sc3 0.000 0.263 0.263
Sc4 0.500 0.256 0.744
P1 0.000 0.000 0.500
P2 0.000 0.500 0.000
P3 0.500 0.500 0.500
Se1 0.500 0.000 0.000

Summary:
**Final energy**: -57.7 eV per cell
**Magnetization**: 0.0 μB/f.u.
**Space group**: Cmmm
**Energy relative to the lowest polymorph listed for this composition**: 0.00 eV per formula unit

---

Record 3
Material: Nd8SbRh2
Method: DFT, PBE-GGA
State: optimized geometry

a = 5.693 Å, b = 8.191 Å, c = 8.191 Å
α = 115.28°, β = 97.86°, γ = 97.86°
Sites, in units of the cell vectors:
Nd1 0.500 0.755 0.245
Nd2 0.308 0.606 0.606
Nd3 0.066 0.330 0.081
Nd4 0.692 0.394 0.394
Nd5 0.934 0.919 0.670
Nd6 0.500 0.245 0.755
Nd7 0.066 0.081 0.330
Nd8 0.934 0.670 0.919
Rh1 0.000 0.706 0.294
Rh2 0.000 0.294 0.706
Sb1 0.500 0.000 0.000

Summary:
**Final energy**: -61.3 eV per cell
**Magnetization**: 0.0 μB/f.u.
**Space group**: C2/m

---

Record 4
Material: NbIr2OsSe
Method: DFT, PBE-GGA
State: optimized geometry

a = 4.493 Å, b = 4.493 Å, c = 4.662 Å
α = 90.00°, β = 90.00°, γ = 90.00°
Sites, in units of the cell vectors:
Ir1 0.500 0.000 0.000
Ir2 0.000 0.500 0.000
Os1 0.500 0.500 0.500
Se1 0.000 0.000 0.000
Nb1 0.000 0.000 0.500

Summary:
**Final energy**: -35.3 eV per cell
**Magnetization**: 0.5 μB/f.u.
**Space group**: P4/mmm

---

Record 5
Material: Na4CdHg2
Method: DFT, PBE-GGA
State: optimized geometry

a = 4.910 Å, b = 6.436 Å, c = 6.436 Å
α = 101.58°, β = 90.00°, γ = 90.00°
Sites, in units of the cell vectors:
Hg1 0.000 0.707 0.293
Hg2 0.000 0.293 0.707
Cd1 0.500 0.500 0.500
Na1 0.000 0.203 0.203
Na2 0.500 0.500 0.000
Na3 0.500 0.000 0.500
Na4 0.000 0.797 0.797

Summary:
**Final energy**: -7.9 eV per cell
**Magnetization**: 0.0 μB/f.u.
**Formation energy**: -1.15 eV per formula unit
**Space group**: Cmmm
**Energy relative to the lowest polymorph listed for this composition**: 0.00 eV per formula unit

---

Record 6
Material: In2SiAs
Method: DFT, PBE-GGA
State: optimized geometry

a = 3.986 Å, b = 2.918 Å, c = 7.740 Å
α = 89.98°, β = 90.00°, γ = 90.00°
Sites, in units of the cell vectors:
In1 0.000 0.752 0.478
In2 0.000 0.748 0.022
Si1 0.500 0.250 0.250
As1 0.500 0.750 0.750

Summary:
**Final energy**: -14.5 eV per cell
**Magnetization**: 0.0 μB/f.u.
**Space group**: P2/m
**Energy relative to the lowest polymorph listed for this composition**: 0.48 eV per formula unit

---

Record 7
Material: Na2Cd6Ga
Method: DFT, PBE-GGA
State: optimized geometry

a = 3.186 Å, b = 8.811 Å, c = 8.811 Å
α = 60.00°, β = 89.85°, γ = 89.85°
Sites, in units of the cell vectors:
Na1 0.000 0.667 0.667
Na2 0.000 0.333 0.333
Cd1 0.500 0.329 0.671
Cd2 0.500 0.671 0.329
Cd3 0.498 0.671 0.000
Cd4 0.502 0.000 0.329
Cd5 0.498 0.000 0.671
Cd6 0.502 0.329 0.000
Ga1 0.000 0.000 0.000

Summary:
**Final energy**: -11.5 eV per cell
**Magnetization**: 0.0 μB/f.u.
**Formation energy**: -0.39 eV per formula unit
**Space group**: C2/m

---

Record 8
Material: FeNi3Mo2
Method: DFT, PBE-GGA
State: optimized geometry

a = 4.735 Å, b = 4.735 Å, c = 7.712 Å
α = 90.00°, β = 90.00°, γ = 120.00°
Sites, in units of the cell vectors:
Ni1 0.340 0.170 0.750
Ni2 0.830 0.660 0.750
Ni3 0.170 0.340 0.250
Ni4 0.660 0.830 0.250
Ni5 0.830 0.170 0.750
Ni6 0.170 0.830 0.250
Mo1 0.333 0.667 0.566
Mo2 0.333 0.667 0.934
Mo3 0.667 0.333 0.434
Mo4 0.667 0.333 0.066
Fe1 0.000 0.000 0.000
Fe2 0.000 0.000 0.500

Summary:
**Final energy**: -95.0 eV per cell
**Magnetization**: 3.8 μB/f.u.
**Formation energy**: -0.01 eV per formula unit
**Space group**: P6_3/mmc

---

Record 9
Material: Rb3TbB2O6
Method: DFT, PBE-GGA
State: optimized geometry

a = 5.671 Å, b = 5.671 Å, c = 7.222 Å
α = 90.00°, β = 90.00°, γ = 120.00°
Sites, in units of the cell vectors:
O1 0.191 0.382 0.312
O2 0.809 0.618 0.688
O3 0.191 0.809 0.312
O4 0.382 0.191 0.688
O5 0.618 0.809 0.312
O6 0.809 0.191 0.688
Rb1 0.667 0.333 0.251
Rb2 0.333 0.667 0.749
Rb3 0.000 0.000 0.000
Tb1 0.000 0.000 0.500
B1 0.333 0.667 0.312
B2 0.667 0.333 0.688

Summary:
**Final energy**: -79.9 eV per cell
**Magnetization**: 0.0 μB/f.u.
**Space group**: P-3m1

---

Record 10
Material: Ce5SmS6
Method: DFT, PBE-GGA
State: optimized geometry

a = 6.959 Å, b = 6.958 Å, c = 6.960 Å
α = 60.01°, β = 80.40°, γ = 70.52°
Sites, in units of the cell vectors:
Ce1 0.500 0.166 0.667
Ce2 0.000 0.667 0.667
Ce3 0.500 0.500 0.000
Ce4 0.000 0.333 0.333
Ce5 0.500 0.834 0.333
S1 0.249 0.585 0.332
S2 0.249 0.249 0.000
S3 0.751 0.415 0.668
S4 0.751 0.751 0.000
S5 0.249 0.917 0.668
S6 0.751 0.083 0.332
Sm1 0.000 0.000 0.000

Summary:
**Final energy**: -83.7 eV per cell
**Magnetization**: 2.9 μB/f.u.
**Space group**: C2/m

---

Record 11
Material: NaSiO
Method: DFT, PBE-GGA
State: optimized geometry

a = 2.961 Å, b = 2.961 Å, c = 10.829 Å
α = 90.00°, β = 90.00°, γ = 120.00°
Sites, in units of the cell vectors:
Si1 0.000 0.000 0.000
Si2 0.333 0.667 0.500
Na1 0.333 0.667 0.227
Na2 0.333 0.667 0.773
O1 0.000 0.000 0.393
O2 0.000 0.000 0.607

Summary:
**Final energy**: -27.1 eV per cell
**Magnetization**: 0.0 μB/f.u.
**Space group**: P-6m2

---

Record 12
Material: CdCu3NiSe4
Method: DFT, PBE-GGA
State: optimized geometry

a = 5.789 Å, b = 5.789 Å, c = 5.789 Å
α = 90.00°, β = 90.00°, γ = 90.00°
Sites, in units of the cell vectors:
Cd1 0.500 0.500 0.500
Se1 0.765 0.235 0.765
Se2 0.235 0.235 0.235
Se3 0.765 0.765 0.235
Se4 0.235 0.765 0.765
Ni1 0.000 0.000 0.000
Cu1 0.500 0.000 0.000
Cu2 0.000 0.000 0.500
Cu3 0.000 0.500 0.000

Summary:
**Final energy**: -34.5 eV per cell
**Magnetization**: 0.0 μB/f.u.
**Space group**: P-43m

---

Record 13
Material: ZrIn2Au
Method: DFT, PBE-GGA
State: optimized geometry

a = 4.974 Å, b = 4.974 Å, c = 4.974 Å
α = 60.00°, β = 60.00°, γ = 60.00°
Sites, in units of the cell vectors:
In1 0.250 0.250 0.250
In2 0.000 0.000 0.000
Zr1 0.750 0.750 0.750
Au1 0.500 0.500 0.500

Summary:
**Final energy**: -17.6 eV per cell
**Magnetization**: 0.0 μB/f.u.
**Formation energy**: -0.28 eV per formula unit
**Space group**: F-43m
**Energy relative to the lowest polymorph listed for this composition**: 1.17 eV per formula unit

---

Record 14
Material: LiLaBr2
Method: DFT, PBE-GGA
State: optimized geometry

a = 6.662 Å, b = 6.662 Å, c = 7.535 Å
α = 63.76°, β = 63.76°, γ = 90.00°
Sites, in units of the cell vectors:
Br1 0.551 0.125 0.250
Br2 0.199 0.625 0.250
Br3 0.875 0.801 0.750
Br4 0.375 0.449 0.750
Li1 0.250 0.750 0.500
Li2 0.500 0.500 0.000
La1 0.750 0.250 0.500
La2 0.000 0.000 0.000

Summary:
**Final energy**: -29.2 eV per cell
**Magnetization**: 2.0 μB/f.u.
**Space group**: I-42d
**Energy relative to the lowest polymorph listed for this composition**: 1.16 eV per formula unit

---

Record 15
Material: NaY2SnN
Method: DFT, PBE-GGA
State: optimized geometry

a = 4.800 Å, b = 4.800 Å, c = 4.700 Å
α = 90.00°, β = 90.00°, γ = 90.00°
Sites, in units of the cell vectors:
Na1 0.000 0.000 0.500
Sn1 0.500 0.500 0.500
Y1 0.000 0.500 0.000
Y2 0.500 0.000 0.000
N1 0.000 0.000 0.000

Summary:
**Final energy**: -30.9 eV per cell
**Magnetization**: 0.0 μB/f.u.
**Space group**: P4/mmm

---

Record 16
Material: TeIrBr2
Method: DFT, PBE-GGA
State: optimized geometry

a = 5.239 Å, b = 5.239 Å, c = 5.239 Å
α = 127.44°, β = 127.44°, γ = 77.53°
Sites, in units of the cell vectors:
Ir1 0.250 0.750 0.500
Br1 0.500 0.500 0.000
Br2 0.000 0.000 0.000
Te1 0.750 0.250 0.500

Summary:
**Final energy**: -10.8 eV per cell
**Magnetization**: 0.0 μB/f.u.
**Space group**: I4/mmm

---

Record 17
Material: Ba2MgSbSe5
Method: DFT, PBE-GGA
State: optimized geometry

a = 4.374 Å, b = 9.787 Å, c = 13.244 Å
α = 90.00°, β = 90.00°, γ = 102.91°
Sites, in units of the cell vectors:
Se1 0.298 0.595 0.382
Se2 0.500 0.999 0.285
Se3 0.702 0.405 0.882
Se4 0.729 0.458 0.164
Se5 0.500 0.001 0.785
Se6 0.069 0.139 0.052
Se7 0.638 0.276 0.494
Se8 0.931 0.861 0.552
Se9 0.271 0.542 0.664
Se10 0.362 0.724 0.994
Ba1 0.099 0.197 0.675
Ba2 0.875 0.749 0.802
Ba3 0.125 0.251 0.302
Ba4 0.901 0.803 0.175
Mg1 0.432 0.863 0.448
Mg2 0.568 0.137 0.948
Sb1 0.779 0.557 0.523
Sb2 0.221 0.443 0.023

Summary:
**Final energy**: -75.9 eV per cell
**Magnetization**: 0.0 μB/f.u.
**Space group**: Cmc2_1

---

Record 18
Material: LiScZn
Method: DFT, PBE-GGA
State: optimized geometry

a = 3.181 Å, b = 3.181 Å, c = 6.854 Å
α = 90.00°, β = 90.00°, γ = 120.00°
Sites, in units of the cell vectors:
Li1 0.000 0.000 0.969
Sc1 0.333 0.667 0.356
Zn1 0.667 0.333 0.675

Summary:
**Final energy**: -9.4 eV per cell
**Magnetization**: 0.0 μB/f.u.
**Formation energy**: 0.08 eV per formula unit
**Space group**: P3m1
**Energy relative to the lowest polymorph listed for this composition**: 0.56 eV per formula unit

---

Record 19
Material: TlZn2Cl
Method: DFT, PBE-GGA
State: optimized geometry

a = 5.242 Å, b = 5.242 Å, c = 5.242 Å
α = 60.00°, β = 60.00°, γ = 60.00°
Sites, in units of the cell vectors:
Tl1 0.500 0.500 0.500
Zn1 0.750 0.750 0.750
Zn2 0.250 0.250 0.250
Cl1 0.000 0.000 0.000

Summary:
**Final energy**: -6.7 eV per cell
**Magnetization**: 0.0 μB/f.u.
**Space group**: Fm-3m
**Energy relative to the lowest polymorph listed for this composition**: 0.98 eV per formula unit

---

Record 20
Material: AsOs3
Method: DFT, PBE-GGA
State: optimized geometry

a = 5.724 Å, b = 5.724 Å, c = 4.159 Å
α = 90.00°, β = 90.00°, γ = 120.00°
Sites, in units of the cell vectors:
Os1 0.830 0.659 0.250
Os2 0.170 0.341 0.750
Os3 0.659 0.830 0.750
Os4 0.341 0.170 0.250
Os5 0.170 0.830 0.750
Os6 0.830 0.170 0.250
As1 0.667 0.333 0.750
As2 0.333 0.667 0.250

Summary:
**Final energy**: -71.0 eV per cell
**Magnetization**: 0.0 μB/f.u.
**Formation energy**: 2.83 eV per formula unit
**Space group**: P6_3/mmc
**Energy relative to the lowest polymorph listed for this composition**: 1.82 eV per formula unit

---

Record 21
Material: Er5In2PtRh2
Method: DFT, PBE-GGA
State: optimized geometry

a = 3.551 Å, b = 11.509 Å, c = 11.509 Å
α = 90.00°, β = 90.00°, γ = 90.00°
Sites, in units of the cell vectors:
Er1 0.500 0.804 0.930
Er2 0.500 0.000 0.500
Er3 0.500 0.304 0.570
Er4 0.500 0.930 0.196
Er5 0.500 0.570 0.696
Er6 0.500 0.196 0.070
Er7 0.500 0.070 0.804
Er8 0.500 0.430 0.304
Er9 0.500 0.500 0.000
Er10 0.500 0.696 0.430
In1 0.000 0.175 0.325
In2 0.000 0.675 0.175
In3 0.000 0.325 0.825
In4 0.000 0.825 0.675
Pt1 0.000 0.500 0.500
Pt2 0.000 0.000 0.000
Rh1 0.000 0.365 0.135
Rh2 0.000 0.865 0.365
Rh3 0.000 0.135 0.635
Rh4 0.000 0.635 0.865

Summary:
**Final energy**: -113.8 eV per cell
**Magnetization**: 0.0 μB/f.u.
**Formation energy**: -7.87 eV per formula unit
**Space group**: P4/mbm

---

Record 22
Material: Tl2ZnTe2
Method: DFT, PBE-GGA
State: optimized geometry

a = 4.557 Å, b = 4.557 Å, c = 9.015 Å
α = 75.36°, β = 75.36°, γ = 90.00°
Sites, in units of the cell vectors:
Te1 0.250 0.750 0.500
Te2 0.750 0.250 0.500
Zn1 0.000 0.000 0.000
Tl1 0.600 0.600 0.799
Tl2 0.400 0.400 0.201

Summary:
**Final energy**: -11.9 eV per cell
**Magnetization**: 0.0 μB/f.u.
**Space group**: I4/mmm
**Energy relative to the lowest polymorph listed for this composition**: 2.08 eV per formula unit

---

Record 23
Material: Re2NiRh
Method: DFT, PBE-GGA
State: optimized geometry

a = 3.152 Å, b = 3.152 Å, c = 5.614 Å
α = 90.00°, β = 90.00°, γ = 90.00°
Sites, in units of the cell vectors:
Re1 0.500 0.500 0.239
Re2 0.000 0.000 0.983
Rh1 0.000 0.000 0.522
Ni1 0.500 0.500 0.756

Summary:
**Final energy**: -37.6 eV per cell
**Magnetization**: 0.0 μB/f.u.
**Formation energy**: 0.45 eV per formula unit
**Space group**: P4mm
**Energy relative to the lowest polymorph listed for this composition**: 0.78 eV per formula unit

---

Record 24
Material: Cs2Li2PrBr6
Method: DFT, PBE-GGA
State: optimized geometry

a = 7.705 Å, b = 7.741 Å, c = 9.385 Å
α = 112.82°, β = 90.00°, γ = 119.85°
Sites, in units of the cell vectors:
Li1 0.056 0.112 0.323
Li2 0.944 0.888 0.677
Br1 0.781 0.095 0.789
Br2 0.314 0.095 0.789
Br3 0.260 0.519 0.404
Br4 0.219 0.905 0.211
Br5 0.686 0.905 0.211
Br6 0.740 0.481 0.596
Cs1 0.298 0.596 0.822
Cs2 0.702 0.404 0.178
Pr1 0.500 0.000 0.500

Summary:
**Final energy**: -37.8 eV per cell
**Magnetization**: 0.9 μB/f.u.
**Space group**: C2/m